Entry from Alexandria: a relaxed structure of Be4Co3Ru (PBE).

Results
Mass density   6.974 g/cm³
Fermi-level density of states   1.039 states/eV per atom
Energy relative to the elements   -0.27 eV/atom

Lattice parameters (Å, degrees): 3.7310 5.3696 7.4620 90.00 90.00 90.00
With the nearest neighbours (Å) after each atom.
Fractional coordinates of all 16 atoms:
Be: 0.5000 0.2323 0.0000  6 Co 2.24-2.36, 2 Ru 2.36, 1 Be 2.49
Co: 0.4999 0.5000 0.2500  8 Be 2.35-2.36
Co: 0.4999 0.0000 0.2500  8 Be 2.24
Co: 0.0000 0.0000 0.0000  8 Be 2.24
Be: 0.9998 0.2323 0.2500  6 Co 2.24-2.36, 2 Ru 2.36, 1 Be 2.49
Ru: 0.0000 0.5000 0.5000  8 Be 2.36
Be: 0.0002 0.7677 0.7500  6 Co 2.24-2.36, 2 Ru 2.36, 1 Be 2.49
Ru: 0.0000 0.5000 0.0000  8 Be 2.36
Be: 0.5000 0.2323 0.5000  6 Co 2.24-2.36, 2 Ru 2.36, 1 Be 2.49
Be: 0.5000 0.7677 0.5000  6 Co 2.24-2.36, 2 Ru 2.36, 1 Be 2.49
Co: 0.5001 0.0000 0.7500  8 Be 2.24
Be: 0.5000 0.7677 0.0000  6 Co 2.24-2.36, 2 Ru 2.36, 1 Be 2.49
Co: 0.5001 0.5000 0.7500  8 Be 2.35-2.36
Be: 0.0002 0.2323 0.7500  6 Co 2.24-2.36, 2 Ru 2.36, 1 Be 2.49
Be: 0.9998 0.7677 0.2500  6 Co 2.24-2.36, 2 Ru 2.36, 1 Be 2.49
Co: 0.0000 0.0000 0.5000  8 Be 2.24